[1]
Mg2OsAu at its PBEsol-relaxed geometry, computed with SCAN.

POSCAR file:
```
Mg2OsAu
1.0
2.929 -3.911 0.000
2.929 3.911 0.000
0.000 0.000 2.786
Mg Os Au
2 1 1
Direct
0.000 0.500 0.000 Mg
0.500 0.000 0.000 Mg
0.000 0.000 0.500 Os
0.500 0.500 0.500 Au
```

Values from the calculation:
E_form: -0.69 eV/f.u.
E: -37.918 eV/atom
space group: Cmmm (65)



[2]
ZnCdRe2 at its PBEsol-relaxed geometry, computed with SCAN.

POSCAR file:
```
ZnCdRe2
1.0
-1.502 2.204 4.619
1.502 -2.204 4.619
1.502 2.204 -4.619
Zn Cd Re
1 1 2
Direct
0.000 0.000 0.000 Zn
0.500 0.500 0.000 Cd
0.238 0.738 0.500 Re
0.762 0.262 0.500 Re
```

Values from the calculation:
ΔE to the lowest computed polymorph: 11 meV/atom
E_form: 1.86 eV/f.u.
E: -46.066 eV/atom
space group: Immm (71)



[3]
TaIBr2 at its PBEsol-relaxed geometry, computed with SCAN.

POSCAR file:
```
TaIBr2
1.0
1.683 0.972 11.781
-1.683 0.972 11.781
0.000 -1.944 11.781
Ta I Br
1 1 2
Direct
0.000 0.000 0.000 Ta
0.500 0.500 0.500 I
0.067 0.067 0.067 Br
0.933 0.933 0.933 Br
```

Values from the calculation:
E: -35.459 eV/atom
space group: R-3m (166)
raw formation energy: 102 meV/atom